(1)
VASP calculation (GGA-PBE) on a geometry-optimized La2PO structure.

CIF file:
```
data_La2PO
_cell_length_a 3.9876
_cell_length_b 3.9876
_cell_length_c 19.1659
_cell_angle_alpha 90.00
_cell_angle_beta 90.00
_cell_angle_gamma 120.00
_space_group_name_H-M_alt 'P 1'
_space_group_IT_number 1
loop_
_space_group_symop_operation_xyz
'x,y,z'
loop_
_atom_site_label
_atom_site_fract_x
_atom_site_fract_y
_atom_site_fract_z
_atom_site_occupancy
La1 0.0000 0.0000 0.2412 1
La2 0.0000 0.0000 0.7588 1
La3 0.3333 0.6667 0.4255 1
La4 0.3333 0.6667 0.9078 1
La5 0.6667 0.3333 0.0922 1
La6 0.6667 0.3333 0.5745 1
P1 0.0000 0.0000 0.0000 1
P2 0.3333 0.6667 0.6667 1
P3 0.6667 0.3333 0.3333 1
O1 0.0000 0.0000 0.5000 1
O2 0.3333 0.6667 0.1667 1
O3 0.6667 0.3333 0.8333 1
```

Results
D(E_F): 0.4284 states/eV/atom
Total DFT energy (no corrections): -7.208 eV/atom
Offset from the most stable computed form: 0.0 kJ/mol of atoms
Formation energy from raw total energies: -2.152 eV per atom

(2)
VASP calculation (GGA-PBE) on a geometry-optimized NpTeCl2O6 structure.

CIF file:
```
data_NpTeCl2O6
_cell_length_a 5.4688
_cell_length_b 5.5361
_cell_length_c 6.1695
_cell_angle_alpha 81.80
_cell_angle_beta 75.36
_cell_angle_gamma 87.88
_space_group_name_H-M_alt 'P 1'
_space_group_IT_number 1
loop_
_space_group_symop_operation_xyz
'x,y,z'
loop_
_atom_site_label
_atom_site_fract_x
_atom_site_fract_y
_atom_site_fract_z
_atom_site_occupancy
Np1 0.0000 0.0000 0.0000 1
Te1 0.5000 0.5000 0.0000 1
Cl1 0.1141 0.8488 0.4227 1
Cl2 0.8859 0.1512 0.5773 1
O1 0.2019 0.2892 0.9766 1
O2 0.3142 0.8103 0.9101 1
O3 0.3458 0.5103 0.3010 1
O4 0.6542 0.4897 0.6990 1
O5 0.6858 0.1897 0.0899 1
O6 0.7981 0.7108 0.0234 1
```

Results
D(E_F): 0.0515 states/eV/atom
Total DFT energy (no corrections): -6.150 eV/atom
Formation energy from raw total energies: -1.197 eV per atom

(3)
VASP calculation (GGA-PBE) on a geometry-optimized NiRu2Pt structure.

CIF file:
```
data_NiRu2Pt
_cell_length_a 5.3114
_cell_length_b 7.6996
_cell_length_c 2.6948
_cell_angle_alpha 90.00
_cell_angle_beta 90.00
_cell_angle_gamma 90.00
_space_group_name_H-M_alt 'P 1'
_space_group_IT_number 1
loop_
_space_group_symop_operation_xyz
'x,y,z'
loop_
_atom_site_label
_atom_site_fract_x
_atom_site_fract_y
_atom_site_fract_z
_atom_site_occupancy
Ni1 0.0000 0.0000 0.0000 1
Ni2 0.5000 0.5000 0.0000 1
Ru1 0.2500 0.2500 0.5000 1
Ru2 0.2500 0.7500 0.5000 1
Ru3 0.7500 0.2500 0.5000 1
Ru4 0.7500 0.7500 0.5000 1
Pt1 0.0000 0.5000 0.0000 1
Pt2 0.5000 0.0000 0.0000 1
```

Results
D(E_F): 1.7534 states/eV/atom
Total DFT energy (no corrections): -7.454 eV/atom
Offset from the most stable computed form: 13.3 kJ/mol of atoms
Calculated formation energy: 0.14 eV/atom

(4)
VASP calculation (GGA-PBE) on a geometry-optimized KSrTe2 structure.

CIF file:
```
data_KSrTe2
_cell_length_a 3.9439
_cell_length_b 5.5739
_cell_length_c 6.8872
_cell_angle_alpha 90.00
_cell_angle_beta 90.00
_cell_angle_gamma 90.00
_space_group_name_H-M_alt 'P 1'
_space_group_IT_number 1
loop_
_space_group_symop_operation_xyz
'x,y,z'
loop_
_atom_site_label
_atom_site_fract_x
_atom_site_fract_y
_atom_site_fract_z
_atom_site_occupancy
K1 0.0000 0.0000 0.0000 1
Sr1 0.5000 0.5000 0.5000 1
Te1 0.0000 0.0000 0.5000 1
Te2 0.5000 0.5000 0.0000 1
```

Results
D(E_F): 0.3865 states/eV/atom
Total DFT energy (no corrections): -3.340 eV/atom
Formation energy from raw total energies: -1.075 eV per atom

(5)
VASP calculation (GGA-PBE) on a geometry-optimized YAlP2 structure.

CIF file:
```
data_YAlP2
_cell_length_a 4.3422
_cell_length_b 4.3422
_cell_length_c 16.1567
_cell_angle_alpha 90.00
_cell_angle_beta 90.00
_cell_angle_gamma 120.00
_space_group_name_H-M_alt 'P 1'
_space_group_IT_number 1
loop_
_space_group_symop_operation_xyz
'x,y,z'
loop_
_atom_site_label
_atom_site_fract_x
_atom_site_fract_y
_atom_site_fract_z
_atom_site_occupancy
Y1 0.0000 0.0000 0.0000 1
Y2 0.3333 0.6667 0.6667 1
Y3 0.6667 0.3333 0.3333 1
Al1 0.0000 0.0000 0.8208 1
Al2 0.3333 0.6667 0.4874 1
Al3 0.6667 0.3333 0.1541 1
P1 0.0000 0.0000 0.2692 1
P2 0.0000 0.0000 0.4156 1
P3 0.3333 0.6667 0.0823 1
P4 0.3333 0.6667 0.9359 1
P5 0.6667 0.3333 0.6025 1
P6 0.6667 0.3333 0.7490 1
```

Results
D(E_F): 0.0590 states/eV/atom
Total DFT energy (no corrections): -5.716 eV/atom
Calculated formation energy: -0.46 eV/atom

(6)
VASP calculation (GGA-PBE) on a geometry-optimized Re2POs structure.

CIF file:
```
data_Re2POs
_cell_length_a 2.8905
_cell_length_b 4.7650
_cell_length_c 8.4037
_cell_angle_alpha 90.00
_cell_angle_beta 90.00
_cell_angle_gamma 90.00
_space_group_name_H-M_alt 'P 1'
_space_group_IT_number 1
loop_
_space_group_symop_operation_xyz
'x,y,z'
loop_
_atom_site_label
_atom_site_fract_x
_atom_site_fract_y
_atom_site_fract_z
_atom_site_occupancy
Re1 0.0000 0.0000 0.2274 1
Re2 0.0000 0.0000 0.7726 1
Re3 0.5000 0.5000 0.2274 1
Re4 0.5000 0.5000 0.7726 1
P1 0.0000 0.5000 0.0000 1
P2 0.5000 0.0000 0.0000 1
Os1 0.0000 0.5000 0.5000 1
Os2 0.5000 0.0000 0.5000 1
```

Results
D(E_F): 1.1983 states/eV/atom
Total DFT energy (no corrections): -9.843 eV/atom
Calculated formation energy: 0.54 eV/atom

(7)
VASP calculation (GGA-PBE) on a geometry-optimized La8AlAg2 structure.

CIF file:
```
data_La8AlAg2
_cell_length_a 8.8622
_cell_length_b 8.8622
_cell_length_c 8.8447
_cell_angle_alpha 118.89
_cell_angle_beta 118.89
_cell_angle_gamma 36.09
_space_group_name_H-M_alt 'P 1'
_space_group_IT_number 1
loop_
_space_group_symop_operation_xyz
'x,y,z'
loop_
_atom_site_label
_atom_site_fract_x
_atom_site_fract_y
_atom_site_fract_z
_atom_site_occupancy
La1 0.0742 0.0742 0.2218 1
La2 0.1344 0.1344 0.6923 1
La3 0.3189 0.3189 0.5334 1
La4 0.4065 0.4065 0.0571 1
La5 0.5935 0.5935 0.9429 1
La6 0.6811 0.6811 0.4666 1
La7 0.8656 0.8656 0.3077 1
La8 0.9258 0.9258 0.7782 1
Al1 0.5000 0.5000 0.5000 1
Ag1 0.2276 0.2276 0.1103 1
Ag2 0.7724 0.7724 0.8897 1
```

Results
D(E_F): 1.1378 states/eV/atom
Total DFT energy (no corrections): -4.576 eV/atom
Offset from the most stable computed form: 0.8 kJ/mol of atoms
Calculated formation energy: -0.13 eV/atom

(8)
VASP calculation (GGA-PBE) on a geometry-optimized LiHfSnOs structure.

CIF file:
```
data_LiHfSnOs
_cell_length_a 6.4763
_cell_length_b 6.4763
_cell_length_c 6.4763
_cell_angle_alpha 90.00
_cell_angle_beta 90.00
_cell_angle_gamma 90.00
_space_group_name_H-M_alt 'P 1'
_space_group_IT_number 1
loop_
_space_group_symop_operation_xyz
'x,y,z'
loop_
_atom_site_label
_atom_site_fract_x
_atom_site_fract_y
_atom_site_fract_z
_atom_site_occupancy
Li1 0.0000 0.0000 0.0000 1
Li2 0.0000 0.5000 0.5000 1
Li3 0.5000 0.0000 0.5000 1
Li4 0.5000 0.5000 0.0000 1
Hf1 0.2500 0.2500 0.7500 1
Hf2 0.2500 0.7500 0.2500 1
Hf3 0.7500 0.2500 0.2500 1
Hf4 0.7500 0.7500 0.7500 1
Sn1 0.2500 0.2500 0.2500 1
Sn2 0.2500 0.7500 0.7500 1
Sn3 0.7500 0.2500 0.7500 1
Sn4 0.7500 0.7500 0.2500 1
Os1 0.0000 0.0000 0.5000 1
Os2 0.0000 0.5000 0.0000 1
Os3 0.5000 0.0000 0.0000 1
Os4 0.5000 0.5000 0.5000 1
```

Results
D(E_F): 0.9649 states/eV/atom
Total DFT energy (no corrections): -7.143 eV/atom
Calculated formation energy: -0.37 eV/atom

(9)
VASP calculation (GGA-PBE) on a geometry-optimized OsSe2Br5 structure.

CIF file:
```
data_OsSe2Br5
_cell_length_a 5.2610
_cell_length_b 8.1410
_cell_length_c 8.1870
_cell_angle_alpha 108.62
_cell_angle_beta 106.12
_cell_angle_gamma 106.34
_space_group_name_H-M_alt 'P 1'
_space_group_IT_number 1
loop_
_space_group_symop_operation_xyz
'x,y,z'
loop_
_atom_site_label
_atom_site_fract_x
_atom_site_fract_y
_atom_site_fract_z
_atom_site_occupancy
Os1 0.0000 0.0000 0.0000 1
Se1 0.0008 0.5667 0.5727 1
Se2 0.3236 0.4892 0.4895 1
Br1 0.1737 0.3409 0.0799 1
Br2 0.1776 0.0867 0.3443 1
Br3 0.4976 0.9890 0.0218 1
Br4 0.8138 0.6570 0.9209 1
Br5 0.8201 0.9174 0.6602 1
```

Results
D(E_F): 0.4536 states/eV/atom
Total DFT energy (no corrections): -3.247 eV/atom
Formation energy from raw total energies: 0.074 eV per atom

(10)
VASP calculation (GGA-PBE) on a geometry-optimized MgHAu2 structure.

CIF file:
```
data_MgHAu2
_cell_length_a 6.6350
_cell_length_b 6.6350
_cell_length_c 5.3644
_cell_angle_alpha 90.00
_cell_angle_beta 90.00
_cell_angle_gamma 90.00
_space_group_name_H-M_alt 'P 1'
_space_group_IT_number 1
loop_
_space_group_symop_operation_xyz
'x,y,z'
loop_
_atom_site_label
_atom_site_fract_x
_atom_site_fract_y
_atom_site_fract_z
_atom_site_occupancy
Mg1 0.0000 0.0000 0.0000 1
Mg2 0.0000 0.5000 0.2500 1
Mg3 0.5000 0.0000 0.7500 1
Mg4 0.5000 0.5000 0.5000 1
H1 0.0000 0.0000 0.5000 1
H2 0.0000 0.5000 0.7500 1
H3 0.5000 0.0000 0.2500 1
H4 0.5000 0.5000 0.0000 1
Au1 0.1591 0.7500 0.6250 1
Au2 0.2500 0.1591 0.3750 1
Au3 0.2500 0.3409 0.8750 1
Au4 0.3409 0.7500 0.1250 1
Au5 0.6591 0.2500 0.1250 1
Au6 0.7500 0.6591 0.8750 1
Au7 0.7500 0.8409 0.3750 1
Au8 0.8409 0.2500 0.6250 1
```

Results
D(E_F): 0.3382 states/eV/atom
Total DFT energy (no corrections): -2.948 eV/atom
Offset from the most stable computed form: 0.0 kJ/mol of atoms

(11)
VASP calculation (GGA-PBE) on a geometry-optimized PmTa2Tl3O9 structure.

CIF file:
```
data_PmTa2Tl3O9
_cell_length_a 5.9221
_cell_length_b 5.9221
_cell_length_c 7.5263
_cell_angle_alpha 90.00
_cell_angle_beta 90.00
_cell_angle_gamma 120.00
_space_group_name_H-M_alt 'P 1'
_space_group_IT_number 1
loop_
_space_group_symop_operation_xyz
'x,y,z'
loop_
_atom_site_label
_atom_site_fract_x
_atom_site_fract_y
_atom_site_fract_z
_atom_site_occupancy
Pm1 0.0000 0.0000 0.0000 1
Ta1 0.3333 0.6667 0.6633 1
Ta2 0.6667 0.3333 0.3367 1
Tl1 0.0000 0.0000 0.5000 1
Tl2 0.3333 0.6667 0.1974 1
Tl3 0.6667 0.3333 0.8026 1
O1 0.0000 0.5000 0.5000 1
O2 0.1747 0.3495 0.8023 1
O3 0.1747 0.8253 0.8023 1
O4 0.3495 0.1747 0.1977 1
O5 0.5000 0.0000 0.5000 1
O6 0.5000 0.5000 0.5000 1
O7 0.6505 0.8253 0.8023 1
O8 0.8253 0.1747 0.1977 1
O9 0.8253 0.6505 0.1977 1
```

Results
D(E_F): 0.8682 states/eV/atom
Total DFT energy (no corrections): -7.392 eV/atom
Formation energy from raw total energies: -2.047 eV per atom

(12)
VASP calculation (GGA-PBE) on a geometry-optimized Ac8HgTe4As3 structure.

CIF file:
```
data_Ac8HgTe4As3
_cell_length_a 9.3917
_cell_length_b 9.3917
_cell_length_c 9.3917
_cell_angle_alpha 59.29
_cell_angle_beta 59.29
_cell_angle_gamma 59.29
_space_group_name_H-M_alt 'P 1'
_space_group_IT_number 1
loop_
_space_group_symop_operation_xyz
'x,y,z'
loop_
_atom_site_label
_atom_site_fract_x
_atom_site_fract_y
_atom_site_fract_z
_atom_site_occupancy
Ac1 0.2386 0.7457 0.7457 1
Ac2 0.2410 0.2410 0.2410 1
Ac3 0.2543 0.2543 0.7614 1
Ac4 0.2543 0.7614 0.2543 1
Ac5 0.7457 0.2386 0.7457 1
Ac6 0.7457 0.7457 0.2386 1
Ac7 0.7590 0.7590 0.7590 1
Ac8 0.7614 0.2543 0.2543 1
Hg1 0.5000 0.5000 0.5000 1
Te1 0.0000 0.0000 0.0000 1
Te2 0.0000 0.5000 0.5000 1
Te3 0.5000 0.0000 0.5000 1
Te4 0.5000 0.5000 0.0000 1
As1 0.0000 0.0000 0.5000 1
As2 0.0000 0.5000 0.0000 1
As3 0.5000 0.0000 0.0000 1
```

Results
D(E_F): 0.5326 states/eV/atom
Total DFT energy (no corrections): -5.120 eV/atom
Formation energy from raw total energies: -1.390 eV per atom

(13)
VASP calculation (GGA-PBE) on a geometry-optimized RbIr structure.

CIF file:
```
data_RbIr
_cell_length_a 10.0451
_cell_length_b 10.0451
_cell_length_c 10.0451
_cell_angle_alpha 90.00
_cell_angle_beta 90.00
_cell_angle_gamma 90.00
_space_group_name_H-M_alt 'P 1'
_space_group_IT_number 1
loop_
_space_group_symop_operation_xyz
'x,y,z'
loop_
_atom_site_label
_atom_site_fract_x
_atom_site_fract_y
_atom_site_fract_z
_atom_site_occupancy
Rb1 0.2122 0.2122 0.2122 1
Rb2 0.2122 0.7878 0.7878 1
Rb3 0.2878 0.2878 0.7122 1
Rb4 0.2878 0.7122 0.2878 1
Rb5 0.7122 0.2878 0.2878 1
Rb6 0.7122 0.7122 0.7122 1
Rb7 0.7878 0.2122 0.7878 1
Rb8 0.7878 0.7878 0.2122 1
Ir1 0.0899 0.0899 0.9101 1
Ir2 0.0899 0.9101 0.0899 1
Ir3 0.4101 0.4101 0.4101 1
Ir4 0.4101 0.5899 0.5899 1
Ir5 0.5899 0.4101 0.5899 1
Ir6 0.5899 0.5899 0.4101 1
Ir7 0.9101 0.0899 0.0899 1
Ir8 0.9101 0.9101 0.9101 1
```

Results
D(E_F): 1.3047 states/eV/atom
Total DFT energy (no corrections): -3.690 eV/atom
Offset from the most stable computed form: 81.8 kJ/mol of atoms
Calculated formation energy: 1.22 eV/atom